1.
# Ca2V2N | the Alexandria database | PBE-GGA | optimized geometry
data_Ca2V2N
_chemical_formula_sum 'Ca4 V4 N2'
_space_group_name_H-M_alt 'I 4/m m m'
_space_group_IT_number 139
_space_group_name_Hall '-I 4 2'
_cell_length_a 3.203
_cell_length_b 3.203
_cell_length_c 17.940
_cell_angle_alpha 90.00
_cell_angle_beta 90.00
_cell_angle_gamma 90.00
loop_
_atom_site_label
_atom_site_fract_x
_atom_site_fract_y
_atom_site_fract_z
Ca1 0.000 0.000 0.075
V1 0.000 0.500 0.250
N1 0.000 0.000 0.500
# Final energy (eV/atom): -5.876
# Total magnetization (μB/atom): 0.0510
# ΔE_f (raw) (meV/atom): 237

2.
# Zr3SnH3 | the Alexandria database | PBE-GGA | optimized geometry
data_Zr3SnH3
_chemical_formula_sum 'Zr6 Sn2 H6'
_space_group_name_H-M_alt 'P 63/m'
_space_group_IT_number 176
_space_group_name_Hall '-P 6c'
_cell_length_a 7.7538
_cell_length_b 7.7538
_cell_length_c 3.8390
_cell_angle_alpha 90.00
_cell_angle_beta 90.00
_cell_angle_gamma 120.00
loop_
_atom_site_label
_atom_site_fract_x
_atom_site_fract_y
_atom_site_fract_z
Zr1 0.0696 0.7130 0.2500
Sn1 0.3333 0.6667 0.7500
H1 0.0419 0.8128 0.7500
# Final energy (eV/atom): -6.138
# Total magnetization (μB/atom): 0.0000

- What is the formula in the second record?
  Zr3SnH3

- Among the records above, which one has the highest final energy?
  Ca2V2N

- Number 1 is which compound?
  Ca2V2N

- Number 1 is which compound?
  Ca2V2N